# HfAlTcAg | Alexandria via LeMat-Bulk | GGA-PBE | relaxed
# Magnetization: 0.00 μB/cell
# N(E_F): 3.2 states/eV per cell
# Formation energy from the elements: -0.7 eV/f.u.
data_HfAlTcAg
_cell_length_a 4.570
_cell_length_b 4.570
_cell_length_c 4.570
_cell_angle_alpha 60.00
_cell_angle_beta 60.00
_cell_angle_gamma 60.00
_space_group_name_H-M_alt 'P 1'
_space_group_IT_number 1
loop_
_space_group_symop_operation_xyz
'x,y,z'
loop_
_atom_site_label
_atom_site_fract_x
_atom_site_fract_y
_atom_site_fract_z
Hf1 0.250 0.250 0.250
Tc1 0.000 0.000 0.000
Ag1 0.500 0.500 0.500
Al1 0.750 0.750 0.750